# Pm4ErGa2 | Alexandria | GGA-PBE | optimized geometry
# DOS(E_F) = 1.61 states/eV/atom
# Uncorrected energy = -4.322 eV/atom
# Energy of formation from the pure elements = -0.09 eV per atom
data_Pm4ErGa2
_space_group_name_H-M_alt 'R -3 m'
_space_group_IT_number 166
_space_group_name_Hall '-R 3 2"'
_cell_length_a 5.0313
_cell_length_b 5.0313
_cell_length_c 30.3091
_cell_angle_alpha 90.00
_cell_angle_beta 90.00
_cell_angle_gamma 120.00
loop_
_atom_site_label
_atom_site_type_symbol
_atom_site_fract_x
_atom_site_fract_y
_atom_site_fract_z
Pm1 Pm 0.0000 0.0000 0.1045
Pm2 Pm 0.0000 0.0000 0.2984
Er1 Er 0.0000 0.0000 0.5000
Ga1 Ga 0.0000 0.0000 0.4018